Here is a relaxed structure of Cu2Pt3 from the Alexandria database. Energies are from GGA-PBE.

Properties
E_form = 57 kJ/mol of formula units
Energy relative to the lowest polymorph listed for this composition = 285 meV/atom
SG = P-3m1, No. 164
Crystal system = trigonal

CIF file:
```
data_Cu2Pt3
_chemical_formula_sum 'Cu2 Pt3'
_cell_length_a 4.159
_cell_length_b 4.159
_cell_length_c 5.137
_cell_angle_alpha 90.00
_cell_angle_beta 90.00
_cell_angle_gamma 120.00
_symmetry_space_group_name_H-M 'P 1'
_symmetry_Int_Tables_number 1
loop_
_symmetry_equiv_pos_as_xyz
'x,y,z'
loop_
_atom_site_label
_atom_site_type_symbol
_atom_site_fract_x
_atom_site_fract_y
_atom_site_fract_z
Cu1 Cu 0.667 0.333 0.157
Cu2 Cu 0.333 0.667 0.843
Pt1 Pt 0.000 0.000 0.000
Pt2 Pt 0.667 0.333 0.649
Pt3 Pt 0.333 0.667 0.351
```